First-principles (PBE+U) data for PmNpFeO6 after structural relaxation, as listed in Alexandria via LeMat-Bulk.

Raw total energy in eV per atom: -8.300

Lattice parameters (Å, degrees): 5.676 5.676 8.726 90.00 90.00 120.00
Atoms (fractional coordinates):
Pm  0.333  0.667  0.250
Pm  0.667  0.333  0.750
Np  0.333  0.667  0.750
Np  0.667  0.333  0.250
Fe  0.000  0.000  0.000
Fe  0.000  0.000  0.500
O  0.039  0.341  0.623
O  0.039  0.698  0.877
O  0.302  0.341  0.877
O  0.302  0.961  0.623
O  0.341  0.039  0.123
O  0.341  0.302  0.377
O  0.659  0.698  0.623
O  0.659  0.961  0.877
O  0.698  0.039  0.377
O  0.698  0.659  0.123
O  0.961  0.302  0.123
O  0.961  0.659  0.377